An optimized crystal structure of Ti3NiIr2. Source: Alexandria, functional PBE.

## Properties
Energy relative to the elements: -702 meV/atom

a b c (Å): 4.2310 6.4362 6.7958
angles (deg): 90.00 108.13 90.00
Atoms (fractional coordinates):
Ti 0.0000 0.2479 0.0000
Ti 0.0000 0.7521 0.0000
Ti 0.3281 0.2662 0.6564
Ti 0.3281 0.7338 0.6564
Ti 0.6719 0.2662 0.3436
Ti 0.6719 0.7338 0.3436
Ni 0.1459 0.5000 0.2905
Ni 0.8541 0.5000 0.7095
Ir 0.1683 0.0000 0.3365
Ir 0.5000 0.0000 0.0000
Ir 0.5000 0.5000 0.0000
Ir 0.8317 0.0000 0.6635

=====

An optimized crystal structure of LiNd4Dy3Te8. Source: Alexandria, functional PBE.

a b c (Å): 8.8753 8.8753 8.8753
angles (deg): 59.37 59.37 59.37
Atoms (fractional coordinates):
Li 0.0000 0.0000 0.0000
Nd 0.0000 0.0000 0.5000
Nd 0.0000 0.5000 0.0000
Nd 0.5000 0.0000 0.0000
Nd 0.5000 0.5000 0.5000
Dy 0.0000 0.5000 0.5000
Dy 0.5000 0.0000 0.5000
Dy 0.5000 0.5000 0.0000
Te 0.2410 0.2410 0.7512
Te 0.2410 0.7512 0.2410
Te 0.2488 0.7590 0.7590
Te 0.2539 0.2539 0.2539
Te 0.7461 0.7461 0.7461
Te 0.7512 0.2410 0.2410
Te 0.7590 0.2488 0.7590
Te 0.7590 0.7590 0.2488

=====

An optimized crystal structure of MgPW2. Source: Alexandria, functional PBE.

## Properties
Energy relative to the elements: 514 meV/atom

a b c (Å): 5.1227 5.1227 5.1227
angles (deg): 136.61 136.61 63.04
Atoms (fractional coordinates):
Mg 0.0000 0.0000 0.0000
P 0.5000 0.5000 0.0000
W 0.2500 0.7500 0.5000
W 0.7500 0.2500 0.5000

=====

Energy per entry: -8.567 -5.105 -7.713 eV/atom
Ρ per entry: 11.079 7.131 11.212 g cm⁻³